--- A ---
Computed, not measured: CsScBr3 after structural relaxation at the GGA-PBEsol level of DFT.

Cell and atoms, written as POSCAR:
```
CsScBr3
1.0
-3.483 -4.848 1.518
-2.021 -4.771 -7.377
4.454 -7.649 -1.712
Cs Sc Br
2 2 6
Direct
0.000 0.500 0.500
0.500 0.000 0.000
0.500 0.500 0.000
0.000 0.500 0.000
0.889 0.245 0.978
0.611 0.522 0.255
0.389 0.478 0.745
0.111 0.755 0.022
0.750 0.746 0.754
0.250 0.254 0.246
```

Output
**Total moment**: 0.21 μB/f.u.
**Calculated density**: 3468 kg/m3
**Calculated volume**: 200 Å³/f.u.

---

--- B ---
Computed, not measured: CsScBr3 after structural relaxation at the GGA-PBEsol level of DFT.

Cell and atoms, written as POSCAR:
```
CsScBr3
1.0
3.943 0.000 0.000
0.000 9.468 0.000
0.000 0.000 16.511
Cs Sc Br
4 4 12
Direct
0.750 0.436 0.331
0.250 0.564 0.669
0.750 0.936 0.169
0.250 0.064 0.831
0.250 0.375 0.047
0.750 0.625 0.953
0.250 0.875 0.453
0.750 0.125 0.547
0.750 0.187 0.002
0.250 0.813 0.998
0.750 0.687 0.498
0.250 0.313 0.502
0.250 0.454 0.888
0.750 0.546 0.112
0.250 0.954 0.612
0.750 0.046 0.388
0.250 0.243 0.192
0.750 0.757 0.808
0.250 0.743 0.308
0.750 0.257 0.692
```

Output
**Total moment**: 1.00 μB/f.u.
**Calculated density**: 4500 kg/m3
**Calculated volume**: 154 Å³/f.u.

---

Bottom line: A, by a margin of 20 meV per atom.